1.
An optimized crystal structure of Tb2Sm4Tl3H2, computed with PBE.

a b c (Å): 4.8039 4.8039 12.9656
angles (deg): 100.68 100.68 90.00
Closest atoms and distances in Å follow each position.
Element x y z (fractional)
Tl: 0.1755 0.1755 0.3511  5 Tb 3.13-3.45, 4 Sm 3.29
Tl: 0.0000 0.0000 0.0000  8 Sm 3.22
Tl: 0.8245 0.8245 0.6489  5 Tb 3.13-3.45, 4 Sm 3.29
Tb: 0.6994 0.6994 0.3987  1 H 2.34
Tb: 0.3006 0.3006 0.6013  1 H 2.34
Sm: 0.9142 0.4142 0.8284  2 H 2.45
Sm: 0.0858 0.5858 0.1716  2 H 2.45
Sm: 0.4142 0.9142 0.8284  2 H 2.45
Sm: 0.5858 0.0858 0.1716  2 H 2.45
H: 0.6057 0.6057 0.2114  1 Tb 2.34, 4 Sm 2.45
H: 0.3943 0.3943 0.7886  1 Tb 2.34, 4 Sm 2.45

Final energy ... -4.089 eV/atom
Magnetization ... 0.000 μB per atom



2.
An optimized crystal structure of Sm2TcH4, computed with PBE.

a b c (Å): 3.7072 3.7072 6.7024
angles (deg): 73.95 73.95 90.00
Closest atoms and distances in Å follow each position.
Element x y z (fractional)
H: 0.8501 0.8501 0.2997  1 Tc 1.85
H: 0.1499 0.1499 0.7003  1 Tc 1.85
H: 0.5000 0.0000 0.0000  2 Tc 1.85
H: 0.0000 0.5000 0.0000  2 Tc 1.85
Tc: 0.0000 0.0000 0.0000  6 H 1.85
Sm: 0.3519 0.3519 0.2962  9 H 2.49-2.62
Sm: 0.6481 0.6481 0.7038  9 H 2.49-2.62

Final energy ... -5.078 eV/atom
Magnetization ... 0.190 μB per atom



3.
An optimized crystal structure of Sm2TcH, computed with PBE.

a b c (Å): 3.5321 3.5321 7.5654
angles (deg): 76.50 76.50 60.00
Closest atoms and distances in Å follow each position.
Element x y z (fractional)
Tc: 0.0000 0.0000 0.0000  6 Sm 2.89
H: 0.5000 0.5000 0.5000  6 Sm 2.59
Sm: 0.7601 0.7601 0.7196  3 H 2.59, 3 Tc 2.89
Sm: 0.2399 0.2399 0.2804  3 H 2.59, 3 Tc 2.89

Final energy ... -5.748 eV/atom
Magnetization ... 0.000 μB per atom



4.
An optimized crystal structure of Sm2TcH, computed with PBE.

a b c (Å): 3.3742 3.3742 7.0688
angles (deg): 90.00 90.00 90.00
Closest atoms and distances in Å follow each position.
Element x y z (fractional)
Tc: 0.5000 0.5000 0.0000  8 Sm 2.94
Sm: 0.0000 0.0000 0.7563  4 Tc 2.94, 4 H 3.00
Sm: 0.0000 0.0000 0.2437  4 Tc 2.94, 4 H 3.00
H: 0.5000 0.5000 0.5000  8 Sm 3.00

Final energy ... -5.756 eV/atom
Magnetization ... 0.000 μB per atom



- The highest final energy belongs to which entry?
  Tb2Sm4Tl3H2